Compound: LaCuW
Source: the Alexandria database
Functional: PBE-GGA
Structure: optimized geometry

Results
* density: 10.48 Mg/m³
* size of the total moment: 0.00 μB/cell
* V: 122 Å³ per cell
* E above lowest polymorph: 0.0398 eV/atom

Unit cell a=3.0060 b=3.6961 c=11.0180 alpha=90.00 beta=90.00 gamma=90.00
Last column: nearest neighbours and their distance in Å.
Space group Imm2 (No. 44)
Unique sites:
La1 0.0000 0.0000 0.0000  2 La 3.01, 5 W 3.25-3.28, 5 Cu 3.26-3.28
Cu1 0.0000 0.0000 0.2974  4 W 2.59
W1 0.0000 0.0000 0.7050  4 Cu 2.59